Entry 1:
PBE Ho3MgNi8, optimized geometry; energy relative to the elements = -0.4383 eV/atom; space-group type = R3m, No. 160; total magnetization = 0.00 μB per atom
1.0
-2.292 0.293 4.426
2.440 -1.277 4.164
2.653 7.383 3.702
Ni Ho Mg
8 3 1
direct
0.436 0.436 0.189
0.939 0.436 0.189
0.937 0.937 0.685
0.188 0.188 0.436
0.436 0.939 0.189
0.937 0.440 0.685
0.440 0.937 0.685
0.688 0.688 0.937
0.995 0.995 0.016
0.504 0.504 0.487
0.377 0.377 0.870
0.873 0.873 0.382



Entry 2:
PBE Cr2HgN, optimized geometry; space-group type = Fm-3m, No. 225; total magnetization = 0.00 μB per atom; formation energy without anion corrections = 1.509 eV per atom; offset from the most stable computed form = 1364.1 meV per atom
1.0
0.000 2.953 2.953
2.953 0.000 2.953
2.953 2.953 0.000
Cr Hg N
2 1 1
direct
0.750 0.750 0.750
0.250 0.250 0.250
0.500 0.500 0.500
0.000 0.000 0.000



Entry 3:
PBE NaCaCd2Pd, optimized geometry; energy relative to the elements = -0.2165 eV/atom; space-group type = P4/mmm, No. 123; total magnetization = 0.00 μB per atom
1.0
5.331 0.000 0.000
0.000 5.331 0.000
0.000 0.000 5.292
Cd Ca Na Pd
2 1 1 1
direct
0.500 0.000 0.000
0.000 0.500 0.000
0.000 0.000 0.500
0.500 0.500 0.500
0.000 0.000 0.000



Entry 4:
PBE KFeSi2, optimized geometry; space-group type = R-3m, No. 166; total magnetization = 0.02 μB per atom; formation energy without anion corrections = 0.297 eV per atom; offset from the most stable computed form = 251.5 meV per atom
1.0
9.242 0.013 0.008
8.764 2.934 0.008
8.764 1.434 2.560
Si Fe K
2 1 1
direct
0.522 0.522 0.522
0.978 0.978 0.978
0.250 0.250 0.250
0.750 0.750 0.750



Entry 5:
PBE Ag5HgPt, optimized geometry; energy relative to the elements = 0.5057 eV/atom; space-group type = Imm2, No. 44; total magnetization = 0.00 μB per atom
1.0
7.653 0.000 0.000
0.000 9.680 0.000
-3.827 -4.840 2.722
Pt Ag Hg
1 5 1
direct
0.227 0.000 0.000
0.672 0.754 0.508
0.311 0.264 0.000
0.164 0.246 0.492
0.311 0.736 0.000
0.100 0.500 0.000
0.747 0.500 0.000



Entry 6:
PBE Cs3K3Hg, optimized geometry; energy relative to the elements = -0.0147 eV/atom; space-group type = P6_3/mmc, No. 194; total magnetization = 0.00 μB per atom
1.0
5.484 0.000 0.000
0.000 13.320 -7.690
0.000 0.000 15.381
Cs K Hg
6 6 2
direct
0.250 0.434 0.869
0.750 0.566 0.131
0.750 0.869 0.434
0.750 0.566 0.434
0.250 0.131 0.566
0.250 0.434 0.566
0.750 0.152 0.848
0.250 0.304 0.152
0.750 0.696 0.848
0.250 0.848 0.696
0.750 0.152 0.304
0.250 0.848 0.152
0.250 0.667 0.333
0.750 0.333 0.667



Entry 7:
PBE BeCoSe2, optimized geometry; space-group type = I-42d, No. 122; total magnetization = 0.71 μB per atom; formation energy without anion corrections = -0.330 eV per atom
1.0
5.389 0.000 0.000
0.000 5.389 0.000
2.694 2.694 5.290
Be Co Se
2 2 4
direct
0.250 0.750 0.500
0.500 0.500 0.000
0.750 0.250 0.500
0.000 0.000 0.000
0.602 0.125 0.250
0.875 0.852 0.750
0.375 0.398 0.750
0.148 0.625 0.250



Entry 8:
PBE Nd3Er4Sc2, optimized geometry; energy relative to the elements = 0.1257 eV/atom; space-group type = P-1, No. 2; total magnetization = 0.00 μB per atom; offset from the most stable computed form = 0.0 meV per atom
1.0
6.332 -1.456 1.565
-0.895 8.020 1.985
0.938 -1.001 11.434
Er Sc Nd
8 4 6
direct
0.353 0.493 0.281
0.110 0.243 0.950
0.647 0.507 0.719
0.579 0.945 0.233
0.421 0.055 0.767
0.890 0.757 0.050
0.876 0.231 0.492
0.124 0.769 0.508
0.869 0.352 0.198
0.597 0.840 0.544
0.403 0.160 0.456
0.131 0.648 0.802
0.808 0.596 0.369
0.614 0.311 0.000
0.899 0.953 0.745
0.101 0.047 0.255
0.386 0.689 0.000
0.192 0.404 0.631